[1]
Entry from the Alexandria database: an optimized crystal structure of PmTm8Cd2 (PBE-GGA).

abc: 5.514 8.170 8.170
angles: 87.39 81.66 81.66
Element x y z (fractional)
Pm1 0.000 0.000 0.000
Tm1 0.786 0.140 0.647
Tm2 0.214 0.353 0.860
Tm3 0.874 0.270 0.270
Tm4 0.126 0.730 0.730
Tm5 0.786 0.647 0.140
Tm6 0.214 0.860 0.353
Tm7 0.286 0.426 0.426
Tm8 0.714 0.574 0.574
Cd1 0.448 0.141 0.141
Cd2 0.552 0.859 0.859

Summary:
Its formation enthalpy at 0 K is 329.5 meV/atom. Its density is 7.9 g cm⁻³. Its total energy is -3.521 eV/atom. Its symmetry is C2/m (12). The total magnetic moment is 0.00 μB/f.u.


[2]
Entry from the Alexandria database: an optimized crystal structure of Sr3PmDy3Te8 (PBE-GGA).

abc: 8.905 8.905 9.185
angles: 119.00 90.00 120.00
Element x y z (fractional)
Sr1 0.000 0.000 0.000
Sr2 0.000 0.500 0.000
Sr3 0.500 0.500 0.000
Pm1 0.000 0.000 0.500
Dy1 0.500 0.000 0.500
Dy2 0.500 0.500 0.500
Dy3 0.000 0.500 0.500
Te1 0.256 0.513 0.269
Te2 0.744 0.487 0.731
Te3 0.750 0.500 0.265
Te4 0.250 0.500 0.735
Te5 0.750 0.015 0.265
Te6 0.250 0.985 0.735
Te7 0.266 0.015 0.265
Te8 0.734 0.985 0.735

Summary:
Its density is 6.1 g cm⁻³. For the uncorrected formation energy, the calculation gives -2199 kJ/mol of formula units. Its total energy is -4.768 eV/atom. Its symmetry is R-3m (166). The total magnetic moment is 0.00 μB/f.u.


[3]
Entry from the Alexandria database: an optimized crystal structure of CaCuIr2 (PBE-GGA).

abc: 5.125 5.125 5.125
angles: 135.16 135.16 65.28
Element x y z (fractional)
Ca1 0.250 0.750 0.500
Ir1 0.000 0.000 0.000
Ir2 0.500 0.500 0.000
Cu1 0.750 0.250 0.500

Summary:
Its formation enthalpy at 0 K is 192.4 meV/atom. Its density is 12.3 g cm⁻³. For the energy above the most stable polymorph in this dataset, the calculation gives 0.68 eV per formula unit. Its total energy is -5.762 eV/atom. Its symmetry is I4/mmm (139). The total magnetic moment is 0.00 μB/f.u.


[4]
Entry from the Alexandria database: an optimized crystal structure of Rb3Tm2TlS6 (PBE-GGA).

abc: 7.012 7.012 8.041
angles: 98.34 98.34 120.00
Element x y z (fractional)
Rb1 0.164 0.836 0.500
Rb2 0.836 0.164 0.500
Rb3 0.500 0.500 0.500
Tm1 0.333 0.667 0.000
Tm2 0.667 0.333 0.000
Tl1 0.000 0.000 0.000
S1 0.936 0.596 0.808
S2 0.724 0.724 0.192
S3 0.064 0.404 0.192
S4 0.596 0.936 0.808
S5 0.276 0.276 0.808
S6 0.404 0.064 0.192

Summary:
Its density is 5.0 g cm⁻³. For the uncorrected formation energy, the calculation gives -1607 kJ/mol of formula units. Its total energy is -4.636 eV/atom. Its symmetry is C2/m (12). The total magnetic moment is 0.00 μB/f.u.


[5]
Entry from the Alexandria database: an optimized crystal structure of BaV3Br (PBE-GGA).

abc: 4.843 4.843 4.843
angles: 90.00 90.00 90.00
Last column: magnetic moment on the atom in μB.
Element x y z (fractional)
Ba1 0.500 0.500 0.500  0.04
Br1 0.000 0.000 0.000  -0.05
V1 0.000 0.500 0.000  1.64
V2 0.000 0.000 0.500  1.64
V3 0.500 0.000 0.000  1.64

Summary:
Its density is 5.4 g cm⁻³. For the uncorrected formation energy, the calculation gives 541 kJ/mol of formula units. For the energy above the most stable polymorph in this dataset, the calculation gives 0.00 eV per formula unit. Its total energy is -5.068 eV/atom. Its symmetry is Pm-3m (221). The total magnetic moment is 5.67 μB/f.u.


[6]
Entry from the Alexandria database: an optimized crystal structure of Li2YPt (PBE-GGA).

abc: 3.995 3.995 10.624
angles: 79.16 79.16 90.00
Element x y z (fractional)
Y1 0.500 0.500 0.000
Y2 0.250 0.750 0.500
Pt1 0.000 0.000 0.000
Pt2 0.750 0.250 0.500
Li1 0.058 0.125 0.250
Li2 0.692 0.625 0.250
Li3 0.375 0.942 0.750
Li4 0.875 0.308 0.750

Summary:
Its formation enthalpy at 0 K is -445.7 meV/atom. Its density is 6.1 g cm⁻³. For the energy above the most stable polymorph in this dataset, the calculation gives 0.43 eV per formula unit. Its total energy is -4.529 eV/atom. Its symmetry is I-42d (122). The total magnetic moment is 0.00 μB/f.u.


[7]
Entry from the Alexandria database: an optimized crystal structure of Li4Ce3Sn4 (PBE-GGA).

abc: 4.721 7.195 8.799
angles: 114.13 105.56 90.00
Last column: magnetic moment on the atom in μB.
Element x y z (fractional)
Li1 0.328 0.140 0.657  -0.01
Li2 0.672 0.483 0.343  -0.01
Li3 0.672 0.860 0.343  -0.01
Li4 0.328 0.517 0.657  -0.01
Ce1 0.871 0.871 0.742  0.73
Ce2 0.129 0.129 0.258  0.73
Ce3 0.000 0.500 0.000  0.60
Sn1 0.786 0.286 0.572  -0.03
Sn2 0.214 0.714 0.428  -0.03
Sn3 0.500 0.799 0.000  -0.02
Sn4 0.500 0.201 0.000  -0.02

Summary:
Its formation enthalpy at 0 K is -553.0 meV/atom. Its density is 5.9 g cm⁻³. Its total energy is -4.323 eV/atom. Its symmetry is Immm (71). The total magnetic moment is 2.08 μB/f.u.


[8]
Entry from the Alexandria database: an optimized crystal structure of ZrTc2Rh (PBE-GGA).

abc: 3.145 3.422 6.101
angles: 90.00 90.00 90.00
Element x y z (fractional)
Rh1 0.500 0.500 0.746
Tc1 0.000 0.000 0.024
Tc2 0.500 0.500 0.217
Zr1 0.000 0.000 0.513

Summary:
Its formation enthalpy at 0 K is -142.4 meV/atom. Its density is 9.9 g cm⁻³. For the energy above the most stable polymorph in this dataset, the calculation gives 0.09 eV per formula unit. Its total energy is -9.300 eV/atom. Its symmetry is Pmm2 (25). The total magnetic moment is 0.00 μB/f.u.